The following is a DFT calculation (PBE with a Hubbard U) of Cr2O3 after structural relaxation.

a b c (Å): 5.092 5.092 5.451
angles (deg): 90.00 117.83 120.00
Each line ends with the local moment (μB).
Sites, in units of the cell vectors:
Cr 0.300 0.152 0.449  3.04
Cr 0.699 0.851 0.547  3.04
O 0.199 0.951 0.748  -0.07
Cr 0.699 0.351 0.047  3.04
O 0.801 0.252 0.748  -0.07
O 0.500 0.451 0.248  -0.07
O 0.801 0.052 0.248  -0.07
O 0.500 0.553 0.748  -0.07
O 0.199 0.752 0.248  -0.07
Cr 0.300 0.652 0.949  3.04

Values from the calculation:
- DOS(E_F): 0.00 states/eV/cell
- Calculated total energy: -79.4 eV for the cell shown
- Space group: No. 167